[1]
Pm2Dy3ErS6: relaxed, GGA-PBE.

```
12
Lattice="8.5822 -1.9636 0.0000 8.5822 1.9636 0.0000 -1.8431 0.0000 7.7097" Properties=species:S:1:pos:R:3 pbc="T T T"
Pm 2.2604 0.0000 2.5879
Pm 13.0610 0.0000 5.1218
Dy 1.3671 0.0000 6.4210
Dy 7.6607 0.0000 3.8549
Dy 13.9543 0.0000 1.2887
Er 8.5822 0.0000 0.0000
S -1.3350 0.0000 5.8205
S 4.0525 0.0000 7.1392
S 5.0217 0.0000 3.1595
S 10.2997 0.0000 4.5503
S 11.2689 0.0000 0.5705
S 16.6564 0.0000 1.8893
```

Computed properties:
E_tot in Ry/atom: -0.4693
Space-group type: C2/m (12)

[2]
NaAc2La3Te6: relaxed, GGA-PBE.

```
12
Lattice="4.0057 -6.9484 0.0000 4.0057 6.9484 0.0000 -2.6862 0.0000 7.6158" Properties=species:S:1:pos:R:3 pbc="T T T"
Na 0.0000 0.0000 0.0000
Ac 4.0057 2.3010 0.0000
Ac 4.0057 -2.3010 0.0000
La 2.6626 4.6184 3.8079
La 2.6626 0.0000 3.8079
La 2.6626 -4.6184 3.8079
Te 1.2968 2.2624 1.9357
Te -0.0832 0.0000 5.6793
Te 1.2968 -2.2624 1.9357
Te 4.0285 2.2624 5.6801
Te 5.4085 0.0000 1.9366
Te 4.0285 -2.2624 5.6801
```

Computed properties:
E_tot in Ry/atom: -0.3748
Space-group type: C2/m (12)

[3]
PrMg4Au4: relaxed, GGA-PBE.

```
18
Lattice="6.9286 0.0000 0.0000 0.0000 6.9286 0.0000 0.0000 0.0000 8.4350" Properties=species:S:1:pos:R:3 pbc="T T T"
Pr 1.7322 5.1965 2.1087
Pr 5.1965 1.7322 6.3262
Mg 0.0036 1.7322 1.1128
Mg 1.7322 0.0036 5.3303
Mg 1.7322 3.4607 5.3303
Mg 3.4607 1.7322 1.1128
Mg 3.4679 5.1965 7.3222
Mg 5.1965 3.4679 3.1047
Mg 5.1965 6.9250 3.1047
Mg 6.9250 5.1965 7.3222
Au 0.2751 1.7322 3.8159
Au 1.7322 0.2751 8.0334
Au 1.7322 3.1892 8.0334
Au 3.1892 1.7322 3.8159
Au 3.7394 5.1965 4.6191
Au 5.1965 3.7394 0.4016
Au 5.1965 6.6535 0.4016
Au 6.6535 5.1965 4.6191
```

Computed properties:
E_tot in Ry/atom: -0.2353
Space-group type: P4_2/nmc (137)

[4]
NdGe2Rh5: relaxed, GGA-PBE.

```
8
Lattice="-1.9556 3.4806 4.9774 1.9556 -3.4806 4.9774 1.9556 3.4806 -4.9774" Properties=species:S:1:pos:R:3 pbc="T T T"
Nd 0.0000 0.0000 0.0000
Ge 1.9556 0.0000 2.5680
Ge 0.0000 3.4806 2.4094
Rh 1.9556 2.1086 -1.4136
Rh 1.9556 2.1086 1.4136
Rh 0.0000 3.4806 0.0000
Rh 0.0000 1.3720 3.5638
Rh 0.0000 1.3720 6.3910
```

Computed properties:
E_tot in Ry/atom: -0.5088
Space-group type: Immm (71)

[5]
Ti6C3N2O: relaxed, GGA-PBE.

```
12
Lattice="6.6565 -1.5165 0.0000 6.6565 1.5165 0.0000 -1.4397 0.0000 5.9244" Properties=species:S:1:pos:R:3 pbc="T T T"
Ti -0.3232 0.0000 1.3997
Ti 3.7729 0.0000 2.4590
Ti 3.1141 0.0000 5.4321
Ti 8.7591 0.0000 0.4922
Ti 8.1004 0.0000 3.4654
Ti 12.1964 0.0000 4.5246
C 1.7305 0.0000 1.9798
C 6.6565 0.0000 0.0000
C 10.1428 0.0000 3.9446
N 1.0091 0.0000 4.9167
N 10.8641 0.0000 1.0077
O 5.9366 0.0000 2.9622
```

Computed properties:
E_tot in Ry/atom: -0.6991
Space-group type: C2/m (12)

[6]
Sc2Mn2AlCo5: relaxed, GGA-PBE.

```
20
Lattice="8.6146 0.0000 0.0000 0.0000 8.6146 0.0000 0.0000 0.0000 3.6409" Properties=species:S:1:pos:R:3 pbc="T T T"
Sc 1.5406 2.7667 0.0000
Sc 2.7667 7.0740 0.0000
Sc 5.8479 1.5406 0.0000
Sc 7.0740 5.8479 0.0000
Mn 1.0304 5.3378 0.0000
Mn 3.2769 1.0304 0.0000
Mn 5.3378 7.5842 0.0000
Mn 7.5842 3.2769 0.0000
Al 0.0000 0.0000 0.0000
Al 4.3073 4.3073 0.0000
Co 0.0000 4.3073 1.8204
Co 0.5161 6.8823 1.8204
Co 1.7323 0.5161 1.8204
Co 2.5750 4.8234 1.8204
Co 3.7912 2.5750 1.8204
Co 4.3073 0.0000 1.8204
Co 4.8234 6.0396 1.8204
Co 6.0396 3.7912 1.8204
Co 6.8823 8.0985 1.8204
Co 8.0985 1.7323 1.8204
```

Computed properties:
E_tot in Ry/atom: -0.5246
Space-group type: P4/mbm (127)

The highest E_tot belongs to which entry? PrMg4Au4